(1)
VASP calculation (PBE) on a relaxed structure of Rb2LaNpO6.

Properties
formation energy from raw total energies: -2.647 eV per atom
VASP energy: -7.60 eV per atom
magnetic moment: 0.000 μB/atom
V: 17.7 Å³/atom

Structure (CIF):
```
data_Rb2LaNpO6
_chemical_formula_sum 'Rb2 La1 Np1 O6'
_space_group_name_H-M_alt 'P 1'
_space_group_IT_number 1
_cell_length_a 6.2976
_cell_length_b 6.2983
_cell_length_c 6.2976
_cell_angle_alpha 59.99
_cell_angle_beta 60.01
_cell_angle_gamma 90.00
loop_
_space_group_symop_operation_xyz
'x,y,z'
loop_
_atom_site_label
_atom_site_type_symbol
_atom_site_fract_x
_atom_site_fract_y
_atom_site_fract_z
Rb1 Rb 0.2500 0.7500 0.5000
Rb2 Rb 0.7500 0.2500 0.5000
La1 La 0.0000 0.0000 0.0000
Np1 Np 0.5000 0.5000 0.0000
O1 O 0.2712 0.7289 0.9999
O2 O 0.7289 0.7288 0.0001
O3 O 0.2713 0.2712 0.4577
O4 O 0.7288 0.2711 0.0001
O5 O 0.2711 0.2712 0.9999
O6 O 0.7287 0.7288 0.5423
```


(2)
VASP calculation (PBE) on a relaxed structure of Ba12Na2Tl5.

Properties
formation energy: -2.75 eV/f.u.
VASP energy: -2.12 eV per atom
magnetic moment: 0.000 μB/atom
V: 51.5 Å³/atom

Structure (CIF):
```
data_Ba12Na2Tl5
_chemical_formula_sum 'Ba12 Na2 Tl5'
_space_group_name_H-M_alt 'P 1'
_space_group_IT_number 1
_cell_length_a 8.4583
_cell_length_b 10.4856
_cell_length_c 12.3387
_cell_angle_alpha 101.03
_cell_angle_beta 90.00
_cell_angle_gamma 113.79
loop_
_space_group_symop_operation_xyz
'x,y,z'
loop_
_atom_site_label
_atom_site_type_symbol
_atom_site_fract_x
_atom_site_fract_y
_atom_site_fract_z
Ba1 Ba 0.9192 0.8385 0.1973
Ba2 Ba 0.0534 0.6072 0.8732
Ba3 Ba 0.5538 0.6072 0.8732
Ba4 Ba 0.0941 0.6943 0.4475
Ba5 Ba 0.6001 0.6943 0.4475
Ba6 Ba 0.4886 0.9771 0.6970
Ba7 Ba 0.5114 0.0229 0.3030
Ba8 Ba 0.9059 0.3057 0.5525
Ba9 Ba 0.3999 0.3057 0.5525
Ba10 Ba 0.9466 0.3928 0.1268
Ba11 Ba 0.4462 0.3928 0.1268
Ba12 Ba 0.0808 0.1615 0.8027
Na1 Na 0.6958 0.0000 0.0000
Na2 Na 0.3042 0.0000 0.0000
Tl1 Tl 0.3011 0.6021 0.6505
Tl2 Tl 0.3490 0.6979 0.1189
Tl3 Tl 0.0000 0.0000 0.5000
Tl4 Tl 0.6510 0.3021 0.8811
Tl5 Tl 0.6989 0.3979 0.3495
```


(3)
VASP calculation (PBE) on a relaxed structure of La2PmGa2.

Properties
formation energy: -2.35 eV/f.u.
VASP energy: -4.60 eV per atom
energy relative to the lowest polymorph listed for this composition: 0 meV/atom
magnetic moment: 0.000 μB/atom
V: 28.3 Å³/atom

Structure (CIF):
```
data_La2PmGa2
_chemical_formula_sum 'La2 Pm1 Ga2'
_space_group_name_H-M_alt 'P 1'
_space_group_IT_number 1
_cell_length_a 4.9112
_cell_length_b 5.9466
_cell_length_c 5.9466
_cell_angle_alpha 71.34
_cell_angle_beta 65.61
_cell_angle_gamma 65.61
loop_
_space_group_symop_operation_xyz
'x,y,z'
loop_
_atom_site_label
_atom_site_type_symbol
_atom_site_fract_x
_atom_site_fract_y
_atom_site_fract_z
La1 La 0.8057 0.6943 0.6943
La2 La 0.1943 0.3057 0.3057
Pm1 Pm 0.0000 0.0000 0.0000
Ga1 Ga 0.5000 0.7008 0.2992
Ga2 Ga 0.5000 0.2992 0.7008
```


(4)
VASP calculation (PBE) on a relaxed structure of BeRe2Mo.

Properties
formation energy: 0.79 eV/f.u.
VASP energy: -9.67 eV per atom
magnetic moment: 0.000 μB/atom
V: 14.0 Å³/atom

Structure (CIF):
```
data_BeRe2Mo
_chemical_formula_sum 'Be1 Re2 Mo1'
_space_group_name_H-M_alt 'P 1'
_space_group_IT_number 1
_cell_length_a 4.8023
_cell_length_b 4.8023
_cell_length_c 4.8023
_cell_angle_alpha 134.17
_cell_angle_beta 134.17
_cell_angle_gamma 66.83
loop_
_space_group_symop_operation_xyz
'x,y,z'
loop_
_atom_site_label
_atom_site_type_symbol
_atom_site_fract_x
_atom_site_fract_y
_atom_site_fract_z
Re1 Re 0.0000 0.0000 0.0000
Re2 Re 0.2500 0.7500 0.5000
Mo1 Mo 0.7500 0.2500 0.5000
Be1 Be 0.5000 0.5000 0.0000
```


Q: What is the formula in the third record?
A: La2PmGa2


Q: Which of these has the highest V?
A: Ba12Na2Tl5